As2PbWO8 | the Alexandria database | PBE+U | optimized geometry; magnetization = 2.0 Bohr magnetons per cell; total DFT energy (no corrections) = -6.39 eV per atom
1.0
5.036 0.000 0.000
2.518 4.361 0.000
2.518 1.454 7.681
As Pb W O
2 1 1 8
Direct
0.255 0.255 0.234 As
0.745 0.745 0.766 As
0.500 0.500 0.500 Pb
0.000 0.000 0.000 W
0.182 0.182 0.455 O
0.612 0.266 0.164 O
0.818 0.818 0.545 O
0.958 0.612 0.164 O
0.042 0.388 0.836 O
0.266 0.958 0.164 O
0.734 0.042 0.836 O
0.388 0.734 0.836 O